(1)
# Ag5Pt4

A relaxed structure of Ag5Pt4 (PBEsol, Alexandria via LeMat-Bulk).

a = 9.3358 Å, b = 2.7803 Å, c = 11.6574 Å
α = 90.00°, β = 110.95°, γ = 90.00°
Space group Cm (No. 8)
Unique sites:
Ag1 0.0000 0.0000 0.0000 [2 per cell]
Ag2 0.0563 0.5000 0.2231 [2 per cell]
Ag3 0.1197 0.0000 0.4520 [2 per cell]
Ag4 0.3347 0.0000 0.3292 [2 per cell]
Ag5 0.3985 0.5000 0.5577 [2 per cell]
Pt1 0.1787 0.5000 0.6773 [2 per cell]
Pt2 0.2211 0.0000 0.8898 [2 per cell]
Pt3 0.2774 0.5000 0.1057 [2 per cell]
Pt4 0.4485 0.0000 0.7783 [2 per cell]

## Properties
Crystal system = monoclinic
Mass density = 15.51 g cm⁻³
Energy relative to the lowest polymorph listed for this composition = 0.0 kJ per mole of atoms
Uncorrected energy = -4.94 eV per atom

---

(2)
# Ag3Pt2

A relaxed structure of Ag3Pt2 (PBEsol, Alexandria via LeMat-Bulk).

a = 2.7853 Å, b = 2.7853 Å, c = 35.0041 Å
α = 90.00°, β = 90.00°, γ = 120.00°
Space group R-3m (No. 166, hexagonal axes)
Unique sites:
Ag1 0.0000 0.0000 0.0000 [3 per cell]
Ag2 0.0000 0.0000 0.2003 [6 per cell]
Pt1 0.0000 0.0000 0.3998 [6 per cell]

## Properties
Crystal system = trigonal
Mass density = 15.12 g cm⁻³
Energy relative to the lowest polymorph listed for this composition = 0.0 kJ per mole of atoms
Uncorrected energy = -4.81 eV per atom

---

(3)
# Ag5Pt2

A relaxed structure of Ag5Pt2 (PBEsol, Alexandria via LeMat-Bulk).

a = 8.9732 Å, b = 4.0210 Å, c = 6.2497 Å
α = 90.00°, β = 97.26°, γ = 90.00°
Space group C2/m (No. 12)
Unique sites:
Ag1 0.0000 0.0000 0.0000 [2 per cell]
Ag2 0.0694 0.5000 0.7162 [4 per cell]
Ag3 0.1455 0.0000 0.4291 [4 per cell]
Pt1 0.2168 0.5000 0.1375 [4 per cell]

## Properties
Crystal system = monoclinic
Mass density = 13.80 g cm⁻³
Uncorrected energy = -4.34 eV per atom

---

(4)
# AgPt

A relaxed structure of AgPt (PBEsol, Alexandria via LeMat-Bulk).

a = 5.5748 Å, b = 7.9614 Å, c = 8.4390 Å
α = 90.00°, β = 90.00°, γ = 90.00°
Space group Cmm2 (No. 35)
Unique sites:
Ag1 0.0000 0.0000 0.0000 [2 per cell]
Ag2 0.0000 0.0000 0.3365 [2 per cell]
Ag3 0.2500 0.2500 0.1635 [4 per cell]
Ag4 0.2500 0.2500 0.4992 [4 per cell]
Pt1 0.0000 0.0000 0.6714 [2 per cell]
Pt2 0.0000 0.5000 0.3279 [2 per cell]
Pt3 0.0000 0.5000 0.6690 [2 per cell]
Pt4 0.0000 0.5000 0.9904 [2 per cell]
Pt5 0.2500 0.2500 0.8298 [4 per cell]

## Properties
Crystal system = orthorhombic
Mass density = 16.12 g cm⁻³
Uncorrected energy = -5.12 eV per atom

---

(5)
# Ag3Pt

A relaxed structure of Ag3Pt (PBEsol, Alexandria via LeMat-Bulk).

a = 5.0822 Å, b = 5.0822 Å, c = 5.0822 Å
α = 90.00°, β = 90.00°, γ = 90.00°
Space group Pm-3m (No. 221)
Unique sites:
Ag1 0.0000 0.0000 0.5000 [3 per cell]
Pt1 0.0000 0.0000 0.0000 [1 per cell]

## Properties
Crystal system = cubic
Mass density = 6.56 g cm⁻³
Uncorrected energy = -3.03 eV per atom

---

(6)
# AgPt

A relaxed structure of AgPt (PBEsol, Alexandria via LeMat-Bulk).

a = 4.1378 Å, b = 4.1378 Å, c = 5.0789 Å
α = 90.00°, β = 90.00°, γ = 120.00°
Space group P6_3/mmc (No. 194)
Unique sites:
Ag1 0.3333 0.6667 0.2500 [2 per cell]
Pt1 0.0000 0.0000 0.0000 [2 per cell]

## Properties
Crystal system = hexagonal
Mass density = 13.36 g cm⁻³
Uncorrected energy = -4.61 eV per atom